1.
A relaxed structure of InPb4, computed with GGA-PBE. Values from VASP.

Structure (Quantum ESPRESSO input):
```
&SYSTEM
  ibrav = 0, nat = 5, ntyp = 2
/
ATOMIC_SPECIES
In 114.82 In.upf
Pb 207.20 Pb.upf
CELL_PARAMETERS angstrom
-3.986 3.986 2.427
3.986 -3.986 2.427
3.986 3.986 -2.427
ATOMIC_POSITIONS angstrom
In 0.000 0.000 0.000
Pb 3.211 1.633 0.000
Pb 2.353 -0.775 2.427
Pb 1.633 4.762 0.000
Pb 0.775 2.353 2.427
```

Calculated values
The crystal system is tetragonal. Its formation energy is 0.7 kJ per mole of atoms. The total energy comes out at -3.51 eV/atom. Its energy above the most stable polymorph in this dataset is 0.000 eV per atom. For the density of states at the Fermi level, the calculation gives 2.55 states/eV per cell. The volume comes out at 30.9 A^3/atom.


2.
A relaxed structure of Ca2ZrRu, computed with GGA-PBE. Values from VASP.

Structure (Quantum ESPRESSO input):
```
&SYSTEM
  ibrav = 0, nat = 4, ntyp = 3
/
ATOMIC_SPECIES
Ca 40.08 Ca.upf
Zr 91.22 Zr.upf
Ru 101.07 Ru.upf
CELL_PARAMETERS angstrom
-1.672 2.081 8.449
1.672 -2.081 8.449
1.672 2.081 -8.449
ATOMIC_POSITIONS angstrom
Ca 0.000 0.000 2.663
Ca 0.000 0.000 14.234
Zr 0.000 2.081 0.000
Ru 1.672 0.000 0.000
```

Calculated values
The crystal system is orthorhombic. Its formation energy is 5.0 kJ per mole of atoms. The total energy comes out at -5.40 eV/atom. Its energy above the most stable polymorph in this dataset is 0.141 eV per atom. For the density of states at the Fermi level, the calculation gives 3.95 states/eV per cell. The volume comes out at 29.4 A^3/atom.


3.
A relaxed structure of Sm2Dy3In7, computed with GGA-PBE. Values from VASP.

Structure (Quantum ESPRESSO input):
```
&SYSTEM
  ibrav = 0, nat = 12, ntyp = 3
/
ATOMIC_SPECIES
Sm 150.36 Sm.upf
Dy 162.50 Dy.upf
In 114.82 In.upf
CELL_PARAMETERS angstrom
2.586 -12.784 0.000
2.586 12.784 0.000
0.000 0.000 5.339
ATOMIC_POSITIONS angstrom
Sm 2.586 9.027 0.000
Sm 2.586 -9.027 0.000
Dy 2.586 3.847 2.669
Dy 2.586 0.000 2.669
Dy 2.586 -3.847 2.669
In 0.000 0.000 0.000
In 2.586 10.844 2.669
In 2.586 5.694 0.000
In 2.586 1.827 0.000
In 2.586 -1.827 0.000
In 2.586 -5.694 0.000
In 2.586 -10.844 2.669
```

Calculated values
The crystal system is orthorhombic. Its formation energy is -20.2 kJ per mole of atoms. The total energy comes out at -3.74 eV/atom. For the density of states at the Fermi level, the calculation gives 8.68 states/eV per cell. The volume comes out at 29.4 A^3/atom.


4.
A relaxed structure of TbMnTlTe3, computed with GGA-PBE. Values from VASP.

Structure (Quantum ESPRESSO input):
```
&SYSTEM
  ibrav = 0, nat = 12, ntyp = 4
/
ATOMIC_SPECIES
Tb 158.93 Tb.upf
Mn 54.94 Mn.upf
Tl 204.38 Tl.upf
Te 127.60 Te.upf
CELL_PARAMETERS angstrom
9.593 0.000 0.000
0.000 4.449 0.000
-2.992 0.000 9.823
ATOMIC_POSITIONS angstrom
Tb 1.210 1.112 1.396
Tb 5.390 3.336 8.426
Mn 2.805 3.336 3.886
Mn 3.795 1.112 5.937
Tl 0.507 3.336 7.624
Tl 6.093 1.112 2.199
Te -2.068 1.112 8.159
Te 1.326 1.112 4.610
Te 3.403 3.336 1.274
Te 3.197 1.112 8.549
Te 5.274 3.336 5.213
Te 8.668 3.336 1.664
```

Calculated values
The crystal system is monoclinic. The total energy comes out at -4.99 eV/atom. For the density of states at the Fermi level, the calculation gives 1.10 states/eV per cell. The volume comes out at 34.9 A^3/atom. The value obtained for the formation energy without anion corrections is -0.73 eV/atom.


5.
A relaxed structure of ZrZn2Pb2, computed with GGA-PBE. Values from VASP.

Structure (Quantum ESPRESSO input):
```
&SYSTEM
  ibrav = 0, nat = 10, ntyp = 3
/
ATOMIC_SPECIES
Zr 91.22 Zr.upf
Zn 65.41 Zn.upf
Pb 207.20 Pb.upf
CELL_PARAMETERS angstrom
7.705 0.000 0.000
0.000 7.705 0.000
0.000 0.000 3.732
ATOMIC_POSITIONS angstrom
Zr 0.000 0.000 0.000
Zr 3.852 3.852 0.000
Zn 0.925 2.927 0.000
Zn 2.927 6.779 0.000
Zn 4.778 0.925 0.000
Zn 6.779 4.778 0.000
Pb 1.381 5.233 1.866
Pb 2.471 1.381 1.866
Pb 5.233 6.324 1.866
Pb 6.324 2.471 1.866
```

Calculated values
The crystal system is tetragonal. Its formation energy is 10.4 kJ per mole of atoms. The total energy comes out at -3.60 eV/atom. Its energy above the most stable polymorph in this dataset is 0.000 eV per atom. For the density of states at the Fermi level, the calculation gives 6.68 states/eV per cell. The volume comes out at 22.2 A^3/atom.


6.
A relaxed structure of Tb5NdMg, computed with GGA-PBE. Values from VASP.

Structure (Quantum ESPRESSO input):
```
&SYSTEM
  ibrav = 0, nat = 14, ntyp = 3
/
ATOMIC_SPECIES
Tb 158.93 Tb.upf
Nd 144.24 Nd.upf
Mg 24.30 Mg.upf
CELL_PARAMETERS angstrom
4.465 -3.949 0.000
4.465 3.949 0.000
-0.112 0.000 12.857
ATOMIC_POSITIONS angstrom
Tb 4.381 3.441 9.643
Tb 2.588 1.087 7.895
Tb 2.588 1.076 11.428
Tb 2.644 -1.087 1.466
Tb 2.644 -1.076 4.999
Tb 6.174 1.076 7.858
Tb 6.174 1.087 11.391
Tb 6.230 -1.076 1.429
Tb 6.230 -1.087 4.963
Tb 4.437 -3.441 3.214
Nd 4.437 1.362 3.214
Nd 4.381 -1.362 9.643
Mg 0.000 0.000 0.000
Mg -0.056 0.000 6.429
```

Calculated values
The crystal system is monoclinic. Its formation energy is 12.2 kJ per mole of atoms. The total energy comes out at -4.09 eV/atom. Its energy above the most stable polymorph in this dataset is 0.000 eV per atom. For the density of states at the Fermi level, the calculation gives 20.05 states/eV per cell. The volume comes out at 32.4 A^3/atom.


7.
A relaxed structure of Y3ThSe4, computed with GGA-PBE. Values from VASP.

Structure (Quantum ESPRESSO input):
```
&SYSTEM
  ibrav = 0, nat = 8, ntyp = 3
/
ATOMIC_SPECIES
Y 88.91 Y.upf
Th 232.04 Th.upf
Se 78.96 Se.upf
CELL_PARAMETERS angstrom
4.155 -5.832 0.000
4.155 5.832 0.000
0.000 0.000 4.081
ATOMIC_POSITIONS angstrom
Y 0.000 0.000 0.000
Y 2.077 2.916 2.041
Y 2.077 -2.916 2.041
Th 4.155 0.000 0.000
Se 2.003 0.000 2.041
Se 4.155 2.965 0.000
Se 4.155 -2.965 0.000
Se 6.306 0.000 2.041
```

Calculated values
The crystal system is orthorhombic. The total energy comes out at -6.79 eV/atom. Its energy above the most stable polymorph in this dataset is 0.004 eV per atom. For the density of states at the Fermi level, the calculation gives 4.47 states/eV per cell. The volume comes out at 24.7 A^3/atom. The value obtained for the formation energy without anion corrections is -1.69 eV/atom.


8.
A relaxed structure of FeReI3, computed with GGA-PBE. Values from VASP.

Structure (Quantum ESPRESSO input):
```
&SYSTEM
  ibrav = 0, nat = 5, ntyp = 3
/
ATOMIC_SPECIES
Fe 55.84 Fe.upf
Re 186.21 Re.upf
I 126.90 I.upf
CELL_PARAMETERS angstrom
5.480 0.000 0.000
0.000 5.480 0.000
0.000 0.000 5.480
ATOMIC_POSITIONS angstrom
Fe 0.000 0.000 0.000
Re 2.740 2.740 2.740
I 0.000 0.000 2.740
I 0.000 2.740 0.000
I 2.740 0.000 0.000
```

Calculated values
The crystal system is cubic. The total energy comes out at -3.81 eV/atom. For the density of states at the Fermi level, the calculation gives 5.07 states/eV per cell. The volume comes out at 32.9 A^3/atom. The value obtained for the formation energy without anion corrections is 1.30 eV/atom.


Question: Which value of density of states at the Fermi level does entry 7 give?
Answer: 4.47 states/eV per cell


Question: Which formula does entry 2 have?
Answer: Ca2ZrRu


Question: The lowest density of states at the Fermi level belongs to which entry?
Answer: TbMnTlTe3